# 1
First-principles (PBE) data for La2Ho3ThTe6 after structural relaxation, as listed in Alexandria.

Calculated values
E_form (uncorrected) = -15.86 eV/f.u.
E_tot = -0.201 hartree per atom

POSCAR file:
```
La2Ho3ThTe6
1.0
-2.113 -3.556 1.367
7.348 -5.012 -1.676
1.808 4.901 8.606
La Ho Th Te
2 3 1 6
direct
0.839 0.678 0.677
0.161 0.322 0.323
0.500 0.500 0.000
0.833 0.169 0.665
0.167 0.831 0.335
0.500 0.000 0.000
0.330 0.933 0.661
0.665 0.590 0.329
0.670 0.067 0.339
0.993 0.257 0.986
0.007 0.743 0.014
0.335 0.410 0.671
```

# 2
First-principles (PBE) data for Fe4Te3 after structural relaxation, as listed in Alexandria.

Calculated values
E_form (uncorrected) = 1.33 eV/f.u.
E_tot = -0.220 hartree per atom
excess energy over the best structure of this formula in the dataset = 0 meV per atom

POSCAR file:
```
Fe4Te3
1.0
-1.672 1.672 11.585
1.672 -1.672 11.585
1.672 1.672 -11.585
Fe Te
4 3
direct
0.886 0.886 0.000
0.114 0.114 0.000
0.562 0.562 0.000
0.438 0.438 0.000
0.000 0.000 0.000
0.675 0.675 0.000
0.325 0.325 0.000
```

# 3
First-principles (PBE) data for LiTc2Os after structural relaxation, as listed in Alexandria.

Calculated values
E_tot = -0.305 hartree per atom
excess energy over the best structure of this formula in the dataset = 0 meV per atom
ΔE_f = 0.162 eV per atom

POSCAR file:
```
LiTc2Os
1.0
4.300 0.000 0.000
0.000 2.700 -0.008
0.000 0.016 4.770
Li Os Tc
1 1 2
direct
0.000 0.625 0.462
0.500 0.625 0.776
0.000 0.125 0.967
0.500 0.125 0.295
```

# 4
First-principles (PBE) data for Ta2TlIr after structural relaxation, as listed in Alexandria.

Calculated values
E_tot = -0.315 hartree per atom
excess energy over the best structure of this formula in the dataset = 161 meV per atom
ΔE_f = 0.159 eV per atom

POSCAR file:
```
Ta2TlIr
1.0
-1.027 -2.222 -2.355
3.234 -0.826 -0.630
-0.304 -4.608 4.481
Ir Ta Tl
1 2 1
direct
0.500 0.500 0.781
0.000 0.000 0.983
0.500 0.500 0.234
0.000 0.000 0.503
```

# 5
First-principles (PBE) data for ZrTcNi2Bi after structural relaxation, as listed in Alexandria.

Calculated values
E_tot = -0.221 hartree per atom
ΔE_f = 0.867 eV per atom

POSCAR file:
```
ZrTcNi2Bi
1.0
4.501 0.000 0.000
0.000 5.144 0.000
0.000 0.000 4.501
Ni Bi Zr Tc
2 1 1 1
direct
0.000 0.000 0.500
0.500 0.000 0.000
0.000 0.500 0.000
0.500 0.500 0.500
0.000 0.000 0.000
```

# 6
First-principles (PBE) data for Ce2Nd3TmTe6 after structural relaxation, as listed in Alexandria.

Calculated values
E_form (uncorrected) = -16.42 eV/f.u.
E_tot = -0.202 hartree per atom

POSCAR file:
```
Ce2Nd3TmTe6
1.0
-1.681 -0.502 4.062
0.836 -8.942 -0.758
9.334 3.086 1.833
Ce Nd Tm Te
2 3 1 6
direct
0.832 0.663 0.664
0.168 0.337 0.336
0.500 0.500 0.000
0.830 0.165 0.660
0.170 0.835 0.340
0.500 0.000 0.000
0.339 0.918 0.678
0.666 0.584 0.332
0.661 0.082 0.322
0.999 0.238 0.998
0.001 0.762 0.002
0.334 0.416 0.668
```